Crystalline Ni2Ir7Ru2 at its relaxed geometry, computed with GGA-PBE.

Cell lengths 9.2370, 7.7121, 4.6652 Å; angles 90.00, 99.15, 90.00 degrees
Space group C2/m (No. 12)
Inequivalent atoms, fractional coordinates:
Ni  0.2380  0.0000  0.2547 [4 per cell]
Ir  0.0000  0.0000  0.5000 [2 per cell]
Ir  0.0347  0.5000  0.2671 [4 per cell]
Ir  0.2366  0.1774  0.7474 [8 per cell]
Ru  0.0000  0.1758  0.0000 [4 per cell]

## Properties
For the formation enthalpy at 0 K, the calculation gives 336 meV per atom. The density of states at the Fermi level is 26.6 states/eV/cell. The calculated total energy comes out at -176.9 eV/cell. As for the magnetic moment: 0.0 Bohr magnetons per cell. As for the crystal system: monoclinic.